Y2TlPb | PBEsol | relaxed

## Properties
As for the calculated formation energy: -0.492 eV per atom. Its uncorrected energy is -22.2 eV for the cell shown. As for the space group: Cmmm. The theoretical density comes out at 9.3 g/cm3.

Geometry as POSCAR:
```
Y2TlPb
1.0
-3.201 -0.908 -1.043
-0.798 -2.685 4.786
-1.852 5.070 1.271
Y Pb Tl
2 1 1
Direct
0.000 0.000 0.500 Y
0.000 0.500 0.000 Y
0.500 0.500 0.500 Pb
0.500 0.000 0.000 Tl
```

---

ZrB2Mo3C2 | PBEsol | relaxed

## Properties
As for the calculated formation energy: -0.532 eV per atom. Its uncorrected energy is -82.0 eV for the cell shown. As for the space group: Amm2. The theoretical density comes out at 8.2 g/cm3.

Geometry as POSCAR:
```
ZrB2Mo3C2
1.0
-0.564 2.856 1.156
0.495 -1.087 2.926
8.225 2.501 -2.168
B C Mo Zr
2 2 3 1
Direct
0.500 0.529 0.058 B
0.000 0.471 0.942 B
0.000 0.191 0.381 C
0.500 0.814 0.627 C
0.500 0.929 0.858 Mo
0.000 0.312 0.625 Mo
0.000 0.067 0.135 Mo
0.500 0.687 0.373 Zr
```

---

EuGaO3 | PBEsol | relaxed

## Properties
As for the formation energy without anion corrections: -2.3944 eV per atom. Its uncorrected energy is -166.5 eV for the cell shown. As for the space group: Pnma. The theoretical density comes out at 7.9 g/cm3.

Geometry as POSCAR:
```
EuGaO3
1.0
-1.027 4.592 -2.613
-3.256 1.625 4.136
5.974 3.279 3.414
Eu Ga O
4 4 12
Direct
0.490 0.950 0.250 Eu
0.510 0.050 0.750 Eu
0.010 0.450 0.250 Eu
0.990 0.550 0.750 Eu
0.000 0.000 0.500 Ga
0.500 0.500 0.000 Ga
0.000 0.000 0.000 Ga
0.500 0.500 0.500 Ga
0.298 0.201 0.044 O
0.702 0.799 0.544 O
0.586 0.524 0.250 O
0.202 0.701 0.044 O
0.414 0.476 0.750 O
0.798 0.299 0.544 O
0.702 0.799 0.956 O
0.914 0.024 0.250 O
0.202 0.701 0.456 O
0.798 0.299 0.956 O
0.086 0.976 0.750 O
0.298 0.201 0.456 O
```

---

MnAuSe2 | PBEsol | relaxed

## Properties
As for the formation energy without anion corrections: -0.0649 eV per atom. Its uncorrected energy is -21.6 eV for the cell shown. As for the space group: R-3m. The theoretical density comes out at 9.7 g/cm3.

Geometry as POSCAR:
```
MnAuSe2
1.0
-0.819 2.101 2.411
-2.888 1.596 -0.112
-4.441 -4.307 4.504
Au Mn Se
1 1 2
Direct
0.500 0.500 0.500 Au
0.000 0.000 0.000 Mn
0.265 0.265 0.205 Se
0.735 0.735 0.795 Se
```

---

Ba2AlCuSn | PBEsol | relaxed

## Properties
As for the calculated formation energy: -0.105 eV per atom. Its uncorrected energy is -17.5 eV for the cell shown. As for the space group: P4/mmm. The theoretical density comes out at 4.9 g/cm3.

Geometry as POSCAR:
```
Ba2AlCuSn
1.0
4.657 0.000 0.000
0.000 5.949 0.000
0.000 0.000 5.949
Al Cu Ba Sn
1 1 2 1
Direct
0.500 0.000 0.000 Al
0.000 0.000 0.000 Cu
0.000 0.500 0.000 Ba
0.000 0.000 0.500 Ba
0.500 0.500 0.500 Sn
```

---

Ni2AsW | PBEsol | relaxed

## Properties
As for the calculated formation energy: 0.098 eV per atom. Its uncorrected energy is -30.8 eV for the cell shown. As for the space group: R-3m. The theoretical density comes out at 11.9 g/cm3.

Geometry as POSCAR:
```
Ni2AsW
1.0
2.744 0.000 0.000
1.372 2.376 0.000
1.372 0.792 8.022
W As Ni
1 1 2
Direct
0.500 0.500 0.500 W
0.000 0.000 0.000 As
0.746 0.746 0.763 Ni
0.254 0.254 0.237 Ni
```

---

Number 1: M_tot 0.00 μB per formula unit. Number 2: M_tot 0.00 μB per formula unit. Number 3: M_tot 6.00 μB per formula unit. Number 4: M_tot 2.44 μB per formula unit. Number 5: M_tot 0.00 μB per formula unit. Number 6: M_tot 0.00 μB per formula unit.